Mn2CoSbO6: relaxed, GGA+U.

Output
As for the crystal system: monoclinic. For the total magnetic moment, the calculation gives 12.000 μB per formula unit. The calculation puts the electronic total energy at -6.800 eV per atom.

CIF file:
```
data_Mn2CoSbO6
_cell_length_a 5.167
_cell_length_b 5.334
_cell_length_c 9.698
_cell_angle_alpha 90.00
_cell_angle_beta 121.53
_cell_angle_gamma 90.00
_symmetry_space_group_name_H-M 'P 1 21/c 1'
_symmetry_Int_Tables_number 14
_symmetry_space_group_name_Hall '-P 2ybc'
loop_
_atom_site_label
_atom_site_type_symbol
_atom_site_fract_x
_atom_site_fract_y
_atom_site_fract_z
_atom_site_occupancy
Mn1 Mn 0.203 0.060 0.222 1
Co1 Co 0.000 0.000 0.500 1
Sb1 Sb 0.500 0.000 0.000 1
O1 O 0.128 0.192 0.944 1
O2 O 0.203 0.712 0.895 1
O3 O 0.436 0.105 0.782 1
```